Here is crystalline U2Si3Ni2 at its relaxed geometry from Alexandria via LeMat-Bulk. Energies are from PBE.

Cell lengths 8.8361, 8.8361, 6.3904 Å; angles 90.00, 90.00, 152.70 degrees
Closest atoms and distances in Å follow each position.
Fractional positions:
U 0.0484 0.9516 0.7500  9 Si 2.90-3.08
U 0.1575 0.8425 0.2500  6 Ni 2.85-2.91, 6 Si 2.89-2.99
U 0.8425 0.1575 0.7500  6 Ni 2.85-2.91, 6 Si 2.89-2.99
U 0.9516 0.0484 0.2500  9 Si 2.90-3.08
Si 0.2180 0.7820 0.7500  6 Ni 2.45-2.47
Si 0.4362 0.5638 0.5637  2 Si 2.34-2.38, 1 Ni 2.35
Si 0.4362 0.5638 0.9363  2 Si 2.34-2.38, 1 Ni 2.35
Si 0.5638 0.4362 0.0637  2 Si 2.34-2.38, 1 Ni 2.35
Si 0.5638 0.4362 0.4363  2 Si 2.34-2.38, 1 Ni 2.35
Si 0.7820 0.2180 0.2500  6 Ni 2.45-2.47
Ni 0.3063 0.6937 0.0522  4 Si 2.35-2.47, 1 Ni 2.53
Ni 0.3063 0.6937 0.4478  4 Si 2.35-2.47, 1 Ni 2.53
Ni 0.6937 0.3063 0.5522  4 Si 2.35-2.47, 1 Ni 2.53
Ni 0.6937 0.3063 0.9478  4 Si 2.35-2.47, 1 Ni 2.53

Values from the calculation:
- DFT total energy: -107.4 eV/cell
- Formation energy (no corrections): -0.47 eV per atom